[1]
The following is a DFT calculation (PBE-GGA) of CeNdGdPb after structural relaxation.

Lattice parameters (Å, degrees): 5.5280 5.5280 5.5280 60.00 60.00 60.00
With the nearest neighbours (Å) after each atom.
Atoms (fractional coordinates):
Ce 0.0000 0.0000 0.0000  4 Gd 3.39, 4 Nd 3.39
Nd 0.2500 0.2500 0.2500  4 Pb 3.39, 4 Ce 3.39
Gd 0.7500 0.7500 0.7500  4 Pb 3.39, 4 Ce 3.39
Pb 0.5000 0.5000 0.5000  4 Nd 3.39, 4 Gd 3.39

Output
VASP energy = -28.84 eV for the cell shown

=====

[2]
The following is a DFT calculation (PBE-GGA) of NdYGaGe after structural relaxation.

Lattice parameters (Å, degrees): 4.0619 5.9450 5.9450 43.49 90.00 90.00
With the nearest neighbours (Å) after each atom.
Atoms (fractional coordinates):
Nd 0.0000 0.0000 0.0000  4 Ga 3.08, 3 Ge 3.09-3.28
Y 0.5000 0.2797 0.2797  4 Ge 3.07, 3 Ga 3.16-3.23
Ga 0.5000 0.5660 0.5660  2 Ge 2.65
Ge 0.0000 0.7198 0.7198  2 Ga 2.65

Output
VASP energy = -22.02 eV for the cell shown

=====

[3]
The following is a DFT calculation (PBE-GGA) of LiMgAl4 after structural relaxation.

Lattice parameters (Å, degrees): 5.4074 5.4074 5.4074 60.00 60.00 60.00
With the nearest neighbours (Å) after each atom.
Atoms (fractional coordinates):
Li 0.0000 0.0000 0.0000  12 Al 3.17, 4 Mg 3.31
Mg 0.7500 0.7500 0.7500  12 Al 3.17, 4 Li 3.31
Al 0.3747 0.3747 0.3747  6 Al 2.70-2.71
Al 0.3747 0.3747 0.8759  6 Al 2.70-2.71
Al 0.3747 0.8759 0.3747  6 Al 2.70-2.71
Al 0.8759 0.3747 0.3747  6 Al 2.70-2.71

Output
VASP energy = -18.62 eV for the cell shown